Below is a relaxed structure of CuPPb2O, with properties calculated at the PBE-GGA level.

- Calculated total energy: -22.506 eV per cell
- ΔE_f (raw): -0.12 eV/atom
- Density: 8.49 g/cm3
- V: 102.71 Å³/cell

Unit cell a=5.211 b=5.211 c=3.783 alpha=90.00 beta=90.00 gamma=90.00
Atoms (fractional coordinates):
Cu 0.000 0.000 0.000
P 0.500 0.500 0.000
Pb 0.000 0.500 0.500
Pb 0.500 0.000 0.500
O 0.000 0.000 0.500